Here is a relaxed structure of Tb2Pr4Bi3N2 from Alexandria. Energies are from PBE.

Values from the calculation:
Formation energy from raw total energies ... -10.78 eV/f.u.
SG ... I4/mmm

Cell: 13.6579 13.6579 13.6579 Å, 159.46 159.46 29.21°
With the nearest neighbours (Å) after each atom.
Element x y z (fractional)
Tb (0.1914, 0.1914, 0.0000)  1 N 2.18
Tb (0.8086, 0.8086, 0.0000)  1 N 2.18
Pr (0.0850, 0.5850, 0.5000)  2 N 2.52
Pr (0.4150, 0.9150, 0.5000)  2 N 2.52
Pr (0.5850, 0.0850, 0.5000)  2 N 2.52
Pr (0.9150, 0.4150, 0.5000)  2 N 2.52
Bi (0.3170, 0.3170, 0.0000)  5 Tb 3.32-3.45, 4 Pr 3.55
Bi (0.5000, 0.5000, 0.0000)  8 Pr 3.31
Bi (0.6830, 0.6830, 0.0000)  5 Tb 3.32-3.45, 4 Pr 3.55
N (0.1090, 0.1090, 0.0000)  1 Tb 2.18
N (0.8910, 0.8910, 0.0000)  1 Tb 2.18

=====

Here is a relaxed structure of TbPr2Bi2N2 from Alexandria. Energies are from PBE.

Values from the calculation:
Formation energy from raw total energies ... -5.95 eV/f.u.
SG ... I4/mmm

Cell: 8.8057 8.8057 8.8057 Å, 149.92 149.92 43.06°
With the nearest neighbours (Å) after each atom.
Element x y z (fractional)
Tb (0.0000, 0.0000, 0.0000)  4 N 2.29
Pr (0.4073, 0.4073, 0.0000)  4 N 2.74, 1 Pr 3.04
Pr (0.5927, 0.5927, 0.0000)  4 N 2.74, 1 Pr 3.04
Bi (0.2135, 0.2135, 0.0000)  1 Pr 3.17, 4 Bi 3.45, 1 Tb 3.50
Bi (0.7865, 0.7865, 0.0000)  1 Pr 3.17, 4 Bi 3.45, 1 Tb 3.50
N (0.0000, 0.5000, 0.5000)  2 Tb 2.29
N (0.5000, 0.0000, 0.5000)  2 Tb 2.29

=====

Here is a relaxed structure of Pr3BiTeN from Alexandria. Energies are from PBE.

Values from the calculation:
Formation energy from raw total energies ... -6.98 eV/f.u.
SG ... P2_1/m

Cell: 9.5001 4.3673 9.6648 Å, 90.00 96.64 90.00°
With the nearest neighbours (Å) after each atom.
Element x y z (fractional)
Pr (0.1060, 0.2500, 0.3306)  1 N 2.29
Pr (0.1472, 0.7500, 0.0015)  3 N 2.30-2.45
Pr (0.3903, 0.7500, 0.6424)  3 Te 3.15-3.22, 2 Bi 3.19
Pr (0.6097, 0.2500, 0.3576)  3 Te 3.15-3.22, 2 Bi 3.19
Pr (0.8528, 0.2500, 0.9985)  3 N 2.30-2.45
Pr (0.8940, 0.7500, 0.6694)  1 N 2.29
Bi (0.1591, 0.2500, 0.7009)  5 Pr 3.19-3.56
Bi (0.8409, 0.7500, 0.2991)  5 Pr 3.19-3.56
Te (0.3601, 0.7500, 0.3141)  6 Pr 3.15-3.44
Te (0.6399, 0.2500, 0.6859)  6 Pr 3.15-3.44
N (0.0869, 0.2500, 0.0926)  4 Pr 2.29-2.45
N (0.9131, 0.7500, 0.9074)  4 Pr 2.29-2.45